[1]
First-principles (GGA-PBE) data for a geometry-optimized LaFe2Pb structure, as listed in Alexandria via LeMat-Bulk.

Summary:
E: -25.5 eV per cell
Space group: No. 160

Cell lengths 6.462, 6.462, 6.462 Å; angles 36.98, 36.98, 36.98 degrees
Fractional coordinates of all 4 atoms:
La1 0.000 0.000 0.000
Fe1 0.447 0.447 0.447
Fe2 0.776 0.776 0.776
Pb1 0.195 0.195 0.195

[2]
First-principles (GGA-PBE) data for a geometry-optimized In2AsRh structure, as listed in Alexandria via LeMat-Bulk.

Summary:
E: -18.3 eV per cell
Space group: No. 8

Cell lengths 5.166, 5.166, 6.291 Å; angles 113.52, 113.52, 34.79 degrees
Fractional coordinates of all 4 atoms:
In1 0.000 0.000 0.000
In2 0.159 0.159 0.610
As1 0.815 0.815 0.249
Rh1 0.424 0.424 0.590

[3]
First-principles (GGA-PBE) data for a geometry-optimized Ac3Ce4Si4 structure, as listed in Alexandria via LeMat-Bulk.

Summary:
E: -62.4 eV per cell
Space group: No. 71

Cell lengths 9.727, 9.727, 9.727 Å; angles 152.91, 131.81, 56.16 degrees
Fractional coordinates of all 11 atoms:
Ac1 0.000 0.000 0.000
Ac2 0.390 0.890 0.500
Ac3 0.610 0.110 0.500
Ce1 0.003 0.333 0.670
Ce2 0.338 0.667 0.670
Ce3 0.662 0.333 0.330
Ce4 0.997 0.667 0.330
Si1 0.245 0.245 0.000
Si2 0.331 0.500 0.831
Si3 0.669 0.500 0.169
Si4 0.755 0.755 0.000

[4]
First-principles (GGA-PBE) data for a geometry-optimized LaEr2Ag6 structure, as listed in Alexandria via LeMat-Bulk.

Summary:
E: -33.4 eV per cell
Space group: No. 191

Cell lengths 8.294, 8.294, 3.462 Å; angles 90.00, 90.00, 120.00 degrees
Fractional coordinates of all 9 atoms:
La1 0.000 0.000 0.000
Er1 0.333 0.667 0.000
Er2 0.667 0.333 0.000
Ag1 0.000 0.337 0.500
Ag2 0.000 0.663 0.500
Ag3 0.337 0.000 0.500
Ag4 0.337 0.337 0.500
Ag5 0.663 0.000 0.500
Ag6 0.663 0.663 0.500

[5]
First-principles (GGA-PBE) data for a geometry-optimized CrReHN2 structure, as listed in Alexandria via LeMat-Bulk.

Summary:
E: -36.4 eV per cell
Space group: No. 123

Cell lengths 3.752, 3.752, 2.862 Å; angles 90.00, 90.00, 90.00 degrees
Fractional coordinates of all 5 atoms:
Cr1 0.000 0.000 0.000
Re1 0.500 0.500 0.000
H1 0.000 0.000 0.500
N1 0.000 0.500 0.500
N2 0.500 0.000 0.500

[6]
First-principles (GGA-PBE) data for a geometry-optimized CsZr2ReSb structure, as listed in Alexandria via LeMat-Bulk.

Summary:
E: -29.7 eV per cell
Space group: No. 123

Cell lengths 5.179, 5.179, 5.608 Å; angles 90.00, 90.00, 90.00 degrees
Fractional coordinates of all 5 atoms:
Cs1 0.000 0.000 0.000
Zr1 0.000 0.500 0.500
Zr2 0.500 0.000 0.500
Re1 0.000 0.000 0.500
Sb1 0.500 0.500 0.000

[7]
First-principles (GGA-PBE) data for a geometry-optimized Pm8Ho6Sc structure, as listed in Alexandria via LeMat-Bulk.

Summary:
E: -69.1 eV per cell
Space group: No. 148
Polymorph energy (0 for the lowest one): 10 meV/atom

Cell lengths 8.162, 8.162, 8.162 Å; angles 73.90, 73.90, 73.90 degrees
Fractional coordinates of all 15 atoms:
Pm1 0.090 0.090 0.090
Pm2 0.150 0.271 0.565
Pm3 0.271 0.565 0.150
Pm4 0.435 0.850 0.729
Pm5 0.565 0.150 0.271
Pm6 0.729 0.435 0.850
Pm7 0.850 0.729 0.435
Pm8 0.910 0.910 0.910
Ho1 0.119 0.567 0.785
Ho2 0.215 0.881 0.433
Ho3 0.433 0.215 0.881
Ho4 0.567 0.785 0.119
Ho5 0.785 0.119 0.567
Ho6 0.881 0.433 0.215
Sc1 0.500 0.500 0.500

[8]
First-principles (GGA-PBE) data for a geometry-optimized NaBe2In structure, as listed in Alexandria via LeMat-Bulk.

Summary:
E: -18.6 eV per cell
Space group: No. 141

Cell lengths 9.200, 9.200, 9.200 Å; angles 152.26, 152.26, 39.63 degrees
Fractional coordinates of all 8 atoms:
Na1 0.375 0.625 0.750
Na2 0.625 0.375 0.250
Be1 0.000 0.000 0.000
Be2 0.000 0.000 0.500
Be3 0.000 0.500 0.000
Be4 0.500 0.000 0.500
In1 0.125 0.875 0.250
In2 0.875 0.125 0.750

[9]
First-principles (GGA-PBE) data for a geometry-optimized LiSc2Pd9 structure, as listed in Alexandria via LeMat-Bulk.

Summary:
E: -69.0 eV per cell
Space group: No. 123

Cell lengths 4.002, 4.002, 11.763 Å; angles 90.00, 90.00, 90.00 degrees
Fractional coordinates of all 12 atoms:
Li1 0.000 0.000 0.000
Sc1 0.000 0.000 0.329
Sc2 0.000 0.000 0.671
Pd1 0.000 0.500 0.162
Pd2 0.000 0.500 0.500
Pd3 0.000 0.500 0.838
Pd4 0.500 0.000 0.162
Pd5 0.500 0.000 0.500
Pd6 0.500 0.000 0.838
Pd7 0.500 0.500 0.000
Pd8 0.500 0.500 0.330
Pd9 0.500 0.500 0.670

[10]
First-principles (GGA-PBE) data for a geometry-optimized Tm4CoSn structure, as listed in Alexandria via LeMat-Bulk.

Summary:
E: -62.7 eV per cell
Space group: No. 15
Polymorph energy (0 for the lowest one): 10 meV/atom

Cell lengths 7.785, 7.785, 5.854 Å; angles 100.94, 100.94, 112.72 degrees
Fractional coordinates of all 12 atoms:
Tm1 0.054 0.727 0.945
Tm2 0.209 0.358 0.633
Tm3 0.273 0.946 0.555
Tm4 0.358 0.209 0.133
Tm5 0.642 0.791 0.867
Tm6 0.727 0.054 0.445
Tm7 0.791 0.642 0.367
Tm8 0.946 0.273 0.055
Co1 0.000 0.000 0.250
Co2 0.000 0.000 0.750
Sn1 0.372 0.628 0.250
Sn2 0.628 0.372 0.750

[11]
First-principles (GGA-PBE) data for a geometry-optimized NdTlHg2Br8 structure, as listed in Alexandria via LeMat-Bulk.

Summary:
E: -32.8 eV per cell
Space group: No. 2

Cell lengths 6.926, 8.136, 9.686 Å; angles 110.64, 91.45, 96.65 degrees
Fractional coordinates of all 12 atoms:
Nd1 0.000 0.000 0.000
Tl1 0.000 0.000 0.500
Hg1 0.432 0.265 0.304
Hg2 0.568 0.735 0.696
Br1 0.177 0.806 0.729
Br2 0.231 0.878 0.184
Br3 0.308 0.309 0.065
Br4 0.396 0.309 0.575
Br5 0.604 0.691 0.425
Br6 0.692 0.691 0.935
Br7 0.769 0.122 0.816
Br8 0.823 0.194 0.271

[12]
First-principles (GGA-PBE) data for a geometry-optimized DyEr2Zr3N6 structure, as listed in Alexandria via LeMat-Bulk.

Summary:
E: -110.4 eV per cell
Space group: No. 12

Cell lengths 5.766, 5.766, 5.817 Å; angles 99.55, 99.55, 119.91 degrees
Fractional coordinates of all 12 atoms:
Dy1 0.000 0.000 0.000
Er1 0.333 0.667 0.000
Er2 0.667 0.333 0.000
Zr1 0.167 0.833 0.500
Zr2 0.500 0.500 0.500
Zr3 0.833 0.167 0.500
N1 0.088 0.424 0.264
N2 0.247 0.247 0.736
N3 0.424 0.088 0.264
N4 0.576 0.912 0.736
N5 0.753 0.753 0.264
N6 0.912 0.576 0.736

[13]
First-principles (GGA-PBE) data for a geometry-optimized Ba3SeF structure, as listed in Alexandria via LeMat-Bulk.

Summary:
E: -18.1 eV per cell
Space group: No. 221
Polymorph energy (0 for the lowest one): 0 meV/atom

Cell lengths 5.464, 5.464, 5.464 Å; angles 90.00, 90.00, 90.00 degrees
Fractional coordinates of all 5 atoms:
Ba1 0.000 0.000 0.500
Ba2 0.000 0.500 0.000
Ba3 0.500 0.000 0.000
Se1 0.500 0.500 0.500
F1 0.000 0.000 0.000

[14]
First-principles (GGA-PBE) data for a geometry-optimized NbV3Si2 structure, as listed in Alexandria via LeMat-Bulk.

Summary:
E: -100.3 eV per cell
Space group: No. 12

Cell lengths 6.715, 6.715, 7.704 Å; angles 117.87, 117.87, 35.11 degrees
Fractional coordinates of all 12 atoms:
Nb1 0.141 0.141 0.059
Nb2 0.859 0.859 0.941
V1 0.042 0.042 0.365
V2 0.308 0.308 0.507
V3 0.416 0.416 0.324
V4 0.584 0.584 0.676
V5 0.692 0.692 0.493
V6 0.958 0.958 0.635
Si1 0.201 0.201 0.731
Si2 0.471 0.471 0.839
Si3 0.529 0.529 0.161
Si4 0.799 0.799 0.269

[15]
First-principles (GGA-PBE) data for a geometry-optimized ZrSc4 structure, as listed in Alexandria via LeMat-Bulk.

Summary:
E: -31.8 eV per cell
Space group: No. 139
Polymorph energy (0 for the lowest one): 384 meV/atom

Cell lengths 8.230, 8.230, 8.230 Å; angles 151.63, 151.63, 40.55 degrees
Fractional coordinates of all 5 atoms:
Zr1 0.000 0.000 0.000
Sc1 0.250 0.750 0.500
Sc2 0.409 0.409 0.000
Sc3 0.591 0.591 0.000
Sc4 0.750 0.250 0.500

[16]
First-principles (GGA-PBE) data for a geometry-optimized RbAgGe2 structure, as listed in Alexandria via LeMat-Bulk.

Summary:
E: -11.1 eV per cell
Space group: No. 225
Polymorph energy (0 for the lowest one): 483 meV/atom

Cell lengths 5.137, 5.137, 5.137 Å; angles 60.00, 60.00, 60.00 degrees
Fractional coordinates of all 4 atoms:
Rb1 0.000 0.000 0.000
Ag1 0.500 0.500 0.500
Ge1 0.250 0.250 0.250
Ge2 0.750 0.750 0.750

[17]
First-principles (GGA-PBE) data for a geometry-optimized Pm3Tl2Rh structure, as listed in Alexandria via LeMat-Bulk.

Summary:
E: -28.8 eV per cell
Space group: No. 12

Cell lengths 8.949, 8.949, 3.702 Å; angles 90.16, 90.16, 35.22 degrees
Fractional coordinates of all 6 atoms:
Pm1 0.000 0.000 0.000
Pm2 0.368 0.368 0.499
Pm3 0.632 0.632 0.501
Tl1 0.193 0.193 0.997
Tl2 0.807 0.807 0.003
Rh1 0.500 0.500 0.000

[18]
First-principles (GGA-PBE) data for a geometry-optimized ErTmBeIn structure, as listed in Alexandria via LeMat-Bulk.

Summary:
E: -16.0 eV per cell
Space group: No. 216

Cell lengths 5.054, 5.054, 5.054 Å; angles 60.00, 60.00, 60.00 degrees
Fractional coordinates of all 4 atoms:
Er1 0.000 0.000 0.000
Tm1 0.500 0.500 0.500
Be1 0.750 0.750 0.750
In1 0.250 0.250 0.250

[19]
First-principles (GGA-PBE) data for a geometry-optimized Ce2ErInCo structure, as listed in Alexandria via LeMat-Bulk.

Summary:
E: -27.7 eV per cell
Space group: No. 123

Cell lengths 4.938, 4.938, 5.436 Å; angles 90.00, 90.00, 90.00 degrees
Fractional coordinates of all 5 atoms:
Ce1 0.000 0.500 0.000
Ce2 0.500 0.000 0.000
Er1 0.000 0.000 0.500
In1 0.500 0.500 0.500
Co1 0.000 0.000 0.000

[20]
First-principles (GGA-PBE) data for a geometry-optimized Zn2AgPd2 structure, as listed in Alexandria via LeMat-Bulk.

Summary:
E: -35.1 eV per cell
Space group: No. 127
Polymorph energy (0 for the lowest one): 0 meV/atom

Cell lengths 7.294, 7.294, 2.934 Å; angles 90.00, 90.00, 90.00 degrees
Fractional coordinates of all 10 atoms:
Zn1 0.138 0.362 0.000
Zn2 0.362 0.862 0.000
Zn3 0.638 0.138 0.000
Zn4 0.862 0.638 0.000
Ag1 0.000 0.000 0.000
Ag2 0.500 0.500 0.000
Pd1 0.158 0.658 0.500
Pd2 0.342 0.158 0.500
Pd3 0.658 0.842 0.500
Pd4 0.842 0.342 0.500